First-principles (PBE with a Hubbard U) data for a relaxed ThCr2CoO8 crystal, as listed in the Alexandria database.

Unit cell a=4.890 b=4.965 c=6.827 alpha=88.44 beta=88.32 gamma=71.14
Sites, in units of the cell vectors:
Th (0.000, 0.000, 0.500)
Cr (0.373, 0.375, 0.785)
Cr (0.627, 0.625, 0.215)
Co (0.000, 0.000, 0.000)
O (0.239, 0.781, 0.212)
O (0.760, 0.776, 0.022)
O (0.789, 0.244, 0.213)
O (0.761, 0.219, 0.788)
O (0.240, 0.224, 0.978)
O (0.211, 0.756, 0.787)
O (0.707, 0.716, 0.449)
O (0.293, 0.284, 0.551)

Properties
magnetization = 3.0 μB/cell
theoretical density = 5.5 g/cm3
uncorrected energy = -7.37 eV per atom
D(E_F) = 1.518 states/eV per cell
crystal system = triclinic